Record 1
The following is a DFT calculation (PBE-GGA) of a relaxed structure of BaPa2PdO8.

The structure in CIF format:
```
data_BaPa2PdO8
_chemical_formula_sum 'Ba1 Pa2 Pd1 O8'
_space_group_name_H-M_alt 'P 1'
_space_group_IT_number 1
_cell_length_a 5.150
_cell_length_b 5.154
_cell_length_c 7.185
_cell_angle_alpha 87.56
_cell_angle_beta 87.60
_cell_angle_gamma 86.71
loop_
_space_group_symop_operation_xyz
'x,y,z'
loop_
_atom_site_label
_atom_site_fract_x
_atom_site_fract_y
_atom_site_fract_z
Ba1 0.000 0.000 0.000
Pa1 0.485 0.484 0.258
Pa2 0.515 0.516 0.742
Pd1 0.000 0.000 0.500
O1 0.200 0.781 0.697
O2 0.216 0.797 0.303
O3 0.285 0.283 0.485
O4 0.340 0.335 0.997
O5 0.660 0.665 0.003
O6 0.715 0.717 0.515
O7 0.784 0.203 0.697
O8 0.800 0.219 0.303
```

The uncorrected formation energy is -2.524 eV/atom. As for the space group: P-1, No. 2.

=====

Record 2
The following is a DFT calculation (PBE-GGA) of a relaxed structure of CeDyCuPt.

The structure in CIF format:
```
data_CeDyCuPt
_chemical_formula_sum 'Ce1 Dy1 Cu1 Pt1'
_space_group_name_H-M_alt 'P 1'
_space_group_IT_number 1
_cell_length_a 4.535
_cell_length_b 5.600
_cell_length_c 5.600
_cell_angle_alpha 39.38
_cell_angle_beta 90.00
_cell_angle_gamma 90.00
loop_
_space_group_symop_operation_xyz
'x,y,z'
loop_
_atom_site_label
_atom_site_fract_x
_atom_site_fract_y
_atom_site_fract_z
Ce1 0.000 0.000 0.000
Dy1 0.500 0.723 0.723
Cu1 0.500 0.441 0.441
Pt1 0.000 0.281 0.281
```

As for the space group: Amm2, No. 38. The calculated formation energy comes out at -65.9 kJ per mole of atoms.

=====

Total DFT energy (no corrections) (Ry per atom)
-0.5883 -0.4301
Magnetic moment (μB per formula unit)
0.0 0.7